Entry 1:
# SrThTl | OQMD via LeMat-Bulk | PBE | relaxed
data_SrThTl
_symmetry_space_group_name_H-M 'P 1'
_symmetry_Int_Tables_number 1
_cell_length_a 5.447
_cell_length_b 5.447
_cell_length_c 5.447
_cell_angle_alpha 60.00
_cell_angle_beta 60.00
_cell_angle_gamma 60.00
loop_
_symmetry_equiv_pos_as_xyz
'x,y,z'
loop_
_atom_site_label
_atom_site_type_symbol
_atom_site_fract_x
_atom_site_fract_y
_atom_site_fract_z
Tl1 Tl 0.000 0.000 0.000
Th1 Th 0.750 0.750 0.750
Sr1 Sr 0.250 0.250 0.250
# * spin magnetization: 0.05 μB per formula unit
# * polymorph energy (0 for the lowest one): 0 meV/atom
# * calculated density: 7.615 g/cm3



Entry 2:
# Zr3Bi4Pt4 | OQMD via LeMat-Bulk | PBE | relaxed
data_Zr3Bi4Pt4
_symmetry_space_group_name_H-M 'P 1'
_symmetry_Int_Tables_number 1
_cell_length_a 7.177
_cell_length_b 4.442
_cell_length_c 7.882
_cell_angle_alpha 90.00
_cell_angle_beta 93.73
_cell_angle_gamma 90.00
loop_
_symmetry_equiv_pos_as_xyz
'x,y,z'
loop_
_atom_site_label
_atom_site_type_symbol
_atom_site_fract_x
_atom_site_fract_y
_atom_site_fract_z
Zr1 Zr 0.483 0.750 0.289
Pt1 Pt 0.394 0.750 0.930
Zr2 Zr 0.520 0.250 0.698
Pt2 Pt 0.740 0.750 0.578
Pt3 Pt 0.256 0.250 0.414
Bi1 Bi 0.795 0.750 0.920
Zr3 Zr 0.030 0.750 0.247
Pt4 Pt 0.609 0.250 0.068
Bi2 Bi 0.198 0.250 0.043
Bi3 Bi 0.175 0.750 0.624
Bi4 Bi 0.798 0.250 0.386
# * spin magnetization: 0.06 μB per formula unit
# * polymorph energy (0 for the lowest one): 168 meV/atom
# * calculated density: 12.515 g/cm3



Entry 3:
# NiBrCl | OQMD via LeMat-Bulk | PBE | relaxed
data_NiBrCl
_symmetry_space_group_name_H-M 'P 1'
_symmetry_Int_Tables_number 1
_cell_length_a 3.524
_cell_length_b 6.153
_cell_length_c 12.666
_cell_angle_alpha 90.00
_cell_angle_beta 90.00
_cell_angle_gamma 90.00
loop_
_symmetry_equiv_pos_as_xyz
'x,y,z'
loop_
_atom_site_label
_atom_site_type_symbol
_atom_site_fract_x
_atom_site_fract_y
_atom_site_fract_z
Br1 Br 0.500 0.385 0.117
Cl1 Cl 0.500 0.720 0.900
Br2 Br 0.000 0.221 0.890
Br3 Br 0.000 0.615 0.617
Ni1 Ni 0.000 0.954 0.503
Cl2 Cl 0.500 0.114 0.607
Cl3 Cl 0.000 0.280 0.400
Cl4 Cl 0.000 0.886 0.107
Ni2 Ni 0.000 0.559 0.004
Ni3 Ni 0.500 0.046 0.003
Ni4 Ni 0.500 0.441 0.504
Br4 Br 0.500 0.779 0.390
# * spin magnetization: 2.00 μB per formula unit
# * polymorph energy (0 for the lowest one): 0 meV/atom
# * calculated density: 4.210 g/cm3



Entry 4:
# PmZr | OQMD via LeMat-Bulk | PBE | relaxed
data_PmZr
_symmetry_space_group_name_H-M 'P 1'
_symmetry_Int_Tables_number 1
_cell_length_a 12.298
_cell_length_b 3.362
_cell_length_c 5.450
_cell_angle_alpha 90.00
_cell_angle_beta 90.00
_cell_angle_gamma 90.00
loop_
_symmetry_equiv_pos_as_xyz
'x,y,z'
loop_
_atom_site_label
_atom_site_type_symbol
_atom_site_fract_x
_atom_site_fract_y
_atom_site_fract_z
Zr1 Zr 0.137 0.000 0.500
Zr2 Zr 0.780 0.500 0.000
Zr3 Zr 0.993 0.000 0.000
Pm1 Pm 0.520 0.000 0.000
Pm2 Pm 0.397 0.500 0.500
Pm3 Pm 0.684 0.000 0.500
Pm4 Pm 0.233 0.500 0.000
Zr4 Zr 0.924 0.500 0.500
# * spin magnetization: 0.00 μB per formula unit
# * polymorph energy (0 for the lowest one): 16 meV/atom
# * energy relative to the elements: 97 meV/atom
# * calculated density: 6.962 g/cm3